# 1
Entry from the Open Quantum Materials Database: crystalline NdHoMgIn at its relaxed geometry (PBE).

Output
Its total energy is -3.728 eV per atom. The calculation puts the magnetic moment at 0.015 Bohr magnetons per cell.

Lattice parameters (Å, degrees): 7.607 7.607 7.607 90.00 90.00 90.00
Space group F-43m (No. 216)
Symmetry-distinct sites (fractional):
Nd (0.000, 0.000, 0.000) x4
Ho (0.000, 0.000, 0.500) x4
Mg (0.250, 0.250, 0.750) x4
In (0.250, 0.250, 0.250) x4

# 2
Entry from the Open Quantum Materials Database: crystalline AlCo2 at its relaxed geometry (PBE).

Output
Its total energy is -3.549 eV per atom. The calculation puts the magnetic moment at 30.455 Bohr magnetons per cell.

Lattice parameters (Å, degrees): 10.534 10.534 10.534 90.00 90.00 90.00
Space group Fd-3m (No. 227, origin choice 2)
Symmetry-distinct sites (fractional):
Al (0.125, 0.125, 0.125) x8
Co (0.000, 0.000, 0.000) x16

# 3
Entry from the Open Quantum Materials Database: crystalline ScCuPbS3 at its relaxed geometry (PBE).

Output
Its total energy is -5.328 eV per atom. The calculation puts the magnetic moment at 0.002 Bohr magnetons per cell.

Lattice parameters (Å, degrees): 16.780 3.786 7.898 90.00 102.25 90.00
Space group C2/m (No. 12)
Symmetry-distinct sites (fractional):
Sc (0.162, 0.000, 0.078) x4
Cu (0.033, 0.500, 0.203) x4
Pb (0.133, 0.000, 0.571) x4
S (0.000, 0.000, 0.000) x2
S (0.000, 0.500, 0.500) x2
S (0.173, 0.500, 0.302) x4
S (0.178, 0.500, 0.864) x4

# 4
Entry from the Open Quantum Materials Database: crystalline CsPdSeS at its relaxed geometry (PBE).

Output
Its total energy is -3.881 eV per atom.

Lattice parameters (Å, degrees): 4.0348 4.0348 14.9099 90.00 90.00 120.00
Space group P-6m2 (No. 187)
Symmetry-distinct sites (fractional):
Cs (0.0000, 0.0000, 0.0000) x1
Cs (0.3333, 0.6667, 0.5000) x1
Pd (0.6667, 0.3333, 0.2587) x2
Se (0.3333, 0.6667, 0.1806) x2
S (0.0000, 0.0000, 0.3291) x2

# 5
Entry from the Open Quantum Materials Database: crystalline Sm3Mg3AlTl2 at its relaxed geometry (PBE).

Output
Its total energy is -3.362 eV per atom. The calculation puts the magnetic moment at 0.003 Bohr magnetons per cell.

Lattice parameters (Å, degrees): 7.6050 7.6050 4.6473 90.00 90.00 120.00
Space group P-62m (No. 189)
Symmetry-distinct sites (fractional):
Sm (0.0000, 0.5760, 0.0000) x3
Mg (0.0000, 0.2359, 0.5000) x3
Al (0.0000, 0.0000, 0.0000) x1
Tl (0.3333, 0.6667, 0.5000) x2

# 6
Entry from the Open Quantum Materials Database: crystalline KTbAu3Se4 at its relaxed geometry (PBE).

Output
Its total energy is -3.859 eV per atom. The calculation puts the magnetic moment at 0.001 Bohr magnetons per cell. The energy relative to the lowest polymorph listed for this composition is 83.2 meV/atom.

Lattice parameters (Å, degrees): 6.554 6.554 6.554 90.00 90.00 90.00
Space group P-43m (No. 215)
Symmetry-distinct sites (fractional):
K (0.000, 0.000, 0.000) x1
Tb (0.500, 0.500, 0.500) x1
Au (0.000, 0.500, 0.500) x3
Se (0.265, 0.265, 0.265) x4

# 7
Entry from the Open Quantum Materials Database: crystalline AlCdNi2 at its relaxed geometry (PBE).

Output
Its total energy is -3.999 eV per atom. The calculation puts the magnetic moment at 0.015 Bohr magnetons per cell.

Lattice parameters (Å, degrees): 6.027 6.027 6.027 90.00 90.00 90.00
Space group F-43m (No. 216)
Symmetry-distinct sites (fractional):
Al (0.000, 0.000, 0.000) x4
Cd (0.250, 0.250, 0.250) x4
Ni (0.000, 0.000, 0.500) x4
Ni (0.250, 0.250, 0.750) x4

# 8
Entry from the Open Quantum Materials Database: crystalline Sr2Li3TaN4 at its relaxed geometry (PBE).

Output
Its total energy is -6.345 eV per atom. The calculation puts the magnetic moment at 0.000 Bohr magnetons per cell. The energy relative to the lowest polymorph listed for this composition is 0.0 meV/atom.

Lattice parameters (Å, degrees): 8.685 8.972 6.987 90.00 90.00 90.00
Space group Pnnm (No. 58)
Symmetry-distinct sites (fractional):
Sr (0.000, 0.000, 0.240) x4
Sr (0.242, 0.246, 0.500) x4
Li (0.019, 0.635, 0.263) x8
Li (0.205, 0.578, 0.500) x4
Ta (0.214, 0.363, 0.000) x4
N (0.046, 0.216, 0.000) x4
N (0.073, 0.779, 0.500) x4
N (0.198, 0.482, 0.235) x8

# 9
Entry from the Open Quantum Materials Database: crystalline LaNd2Nb2O6 at its relaxed geometry (PBE).

Output
Its total energy is -8.375 eV per atom. The calculation puts the magnetic moment at 0.009 Bohr magnetons per cell.

Lattice parameters (Å, degrees): 4.071 4.071 19.062 90.00 90.00 90.00
Space group I4/mmm (No. 139)
Symmetry-distinct sites (fractional):
La (0.000, 0.000, 0.000) x2
Nd (0.000, 0.000, 0.179) x4
Nb (0.000, 0.000, 0.430) x4
O (0.000, 0.000, 0.294) x4
O (0.000, 0.500, 0.097) x8

# 10
Entry from the Open Quantum Materials Database: crystalline LuFeBiAu at its relaxed geometry (PBE).

Output
Its total energy is -5.081 eV per atom. The calculation puts the magnetic moment at 8.342 Bohr magnetons per cell. The energy relative to the lowest polymorph listed for this composition is 59.7 meV/atom.

Lattice parameters (Å, degrees): 6.936 6.936 6.936 90.00 90.00 90.00
Space group F-43m (No. 216)
Symmetry-distinct sites (fractional):
Lu (0.000, 0.000, 0.000) x4
Fe (0.250, 0.250, 0.750) x4
Bi (0.000, 0.000, 0.500) x4
Au (0.250, 0.250, 0.250) x4

# 11
Entry from the Open Quantum Materials Database: crystalline CsLiPu at its relaxed geometry (PBE).

Output
Its total energy is -4.480 eV per atom. The calculation puts the magnetic moment at 26.984 Bohr magnetons per cell. The energy relative to the lowest polymorph listed for this composition is 117.4 meV/atom.

Lattice parameters (Å, degrees): 8.543 8.543 8.543 90.00 90.00 90.00
Space group F-43m (No. 216)
Symmetry-distinct sites (fractional):
Cs (0.000, 0.000, 0.000) x4
Li (0.250, 0.250, 0.750) x4
Pu (0.250, 0.250, 0.250) x4

# 12
Entry from the Open Quantum Materials Database: crystalline HfScNO at its relaxed geometry (PBE).

Output
Its total energy is -9.356 eV per atom. The calculation puts the magnetic moment at 0.145 Bohr magnetons per cell. The energy relative to the lowest polymorph listed for this composition is 306.6 meV/atom.

Lattice parameters (Å, degrees): 3.397 5.993 5.626 90.00 90.00 90.00
Space group Pmc2_1 (No. 26)
Symmetry-distinct sites (fractional):
Hf (0.000, 0.137, 0.000) x2
Sc (0.500, 0.327, 0.545) x2
N (0.500, 0.336, 0.942) x2
O (0.000, 0.208, 0.373) x2